Record 1
# Tm8Pd2Au

Crystalline Tm8Pd2Au at its relaxed geometry (GGA-PBE, the Alexandria database).

a b c (Å): 5.6374 7.8074 7.8074
angles (deg): 115.45 99.94 99.94
Fractional coordinates of all 11 atoms:
Tm 0.8039 0.6309 0.6309
Tm 0.9904 0.2207 0.7833
Au 0.1157 0.0024 0.0024
Tm 0.1740 0.3762 0.3762
Tm 0.3844 0.9152 0.6638
Tm 0.9904 0.7833 0.2207
Pd 0.4950 0.7037 0.3067
Pd 0.4950 0.3067 0.7037
Tm 0.3844 0.6638 0.9152
Tm 0.5833 0.0900 0.3411
Tm 0.5833 0.3411 0.0900

Results
- SG = Cm
- distance to the lowest polymorph of the same formula (meV per atom) = 103
- total moment (Bohr magnetons per cell) = 0.00
- DFT formation energy (eV/atom) = -0.392

Record 2
# Tm5PdAu4

Crystalline Tm5PdAu4 at its relaxed geometry (GGA-PBE, the Alexandria database).

a b c (Å): 3.5161 3.5161 17.8574
angles (deg): 90.00 90.00 90.00
Fractional coordinates of all 10 atoms:
Tm 0.5000 0.5000 0.2976
Pd 0.0000 0.0000 0.0000
Tm 0.5000 0.5000 0.0959
Au 0.0000 0.0000 0.8030
Tm 0.5000 0.5000 0.7024
Au 0.0000 0.0000 0.3990
Au 0.0000 0.0000 0.6010
Au 0.0000 0.0000 0.1970
Tm 0.5000 0.5000 0.9041
Tm 0.5000 0.5000 0.5000

Results
- SG = P4/mmm
- total moment (Bohr magnetons per cell) = 0.00
- DFT formation energy (eV/atom) = -0.903

Record 3
# Tm6Pd2Au

Crystalline Tm6Pd2Au at its relaxed geometry (GGA-PBE, the Alexandria database).

a b c (Å): 8.3330 8.3330 8.3330
angles (deg): 106.07 110.65 111.75
Fractional coordinates of all 18 atoms:
Pd 0.6574 0.0000 0.6574
Tm 0.7038 0.3732 0.6694
Tm 0.8101 0.2441 0.0542
Tm 0.1899 0.2441 0.4340
Tm 0.2962 0.6268 0.3306
Tm 0.7038 0.0345 0.3306
Tm 0.2962 0.9655 0.6694
Au 0.0000 0.0000 0.0000
Pd 0.5000 0.3654 0.8654
Pd 0.3426 0.0000 0.3426
Tm 0.8101 0.7559 0.5660
Tm 0.4581 0.2793 0.1788
Pd 0.5000 0.6346 0.1346
Tm 0.1899 0.7559 0.9458
Tm 0.5419 0.7207 0.8212
Tm 0.8995 0.7207 0.1788
Au 0.0000 0.5000 0.5000
Tm 0.1005 0.2793 0.8212

Results
- SG = Immm
- total moment (Bohr magnetons per cell) = 0.00
- DFT formation energy (eV/atom) = -0.624

Record 4
# TmPd6Au5

Crystalline TmPd6Au5 at its relaxed geometry (GGA-PBE, the Alexandria database).

a b c (Å): 4.2308 7.7666 7.6462
angles (deg): 120.52 106.06 90.00
Fractional coordinates of all 12 atoms:
Pd 0.8328 0.5813 0.6656
Pd 0.5000 0.2540 0.0000
Tm 0.0000 0.0000 0.0000
Au 0.6680 0.6680 0.3359
Pd 0.1672 0.9157 0.3344
Au 0.3347 0.8347 0.6695
Pd 0.5000 0.7460 0.0000
Au 0.3320 0.3320 0.6641
Pd 0.8328 0.0843 0.6656
Au 0.6653 0.1653 0.3305
Pd 0.1672 0.4187 0.3344
Au 0.0000 0.5000 0.0000

Results
- SG = Immm
- distance to the lowest polymorph of the same formula (meV per atom) = 4
- total moment (Bohr magnetons per cell) = 0.00
- DFT formation energy (eV/atom) = -0.374

Record 5
# Tm12Pd6Au

Crystalline Tm12Pd6Au at its relaxed geometry (GGA-PBE, the Alexandria database).

a b c (Å): 8.2535 8.2535 8.2535
angles (deg): 101.64 101.64 101.64
Fractional coordinates of all 19 atoms:
Tm 0.4344 0.8266 0.5852
Tm 0.5852 0.4344 0.8266
Tm 0.3274 0.0742 0.9409
Pd 0.6197 0.3147 0.1395
Pd 0.8605 0.3803 0.6853
Tm 0.0742 0.9409 0.3274
Tm 0.8266 0.5852 0.4344
Pd 0.3803 0.6853 0.8605
Tm 0.6726 0.9258 0.0591
Pd 0.3147 0.1395 0.6197
Tm 0.4148 0.5656 0.1734
Tm 0.9409 0.3274 0.0742
Au 0.0000 0.0000 0.0000
Tm 0.9258 0.0591 0.6726
Tm 0.0591 0.6726 0.9258
Pd 0.6853 0.8605 0.3803
Pd 0.1395 0.6197 0.3147
Tm 0.5656 0.1734 0.4148
Tm 0.1734 0.4148 0.5656

Results
- SG = R-3
- total moment (Bohr magnetons per cell) = 0.00
- DFT formation energy (eV/atom) = -0.548

Record 6
# TmPd2Au3

Crystalline TmPd2Au3 at its relaxed geometry (GGA-PBE, the Alexandria database).

a b c (Å): 5.6512 5.6512 7.4034
angles (deg): 81.50 81.50 101.38
Fractional coordinates of all 12 atoms:
Pd 0.3423 0.9044 0.3811
Pd 0.9044 0.3423 0.8811
Au 0.3948 0.6052 0.7500
Tm 0.9259 0.0741 0.2500
Au 0.6052 0.3948 0.2500
Pd 0.0956 0.6577 0.1189
Au 0.1798 0.3702 0.4820
Au 0.3702 0.1798 0.9820
Au 0.6298 0.8202 0.0180
Pd 0.6577 0.0956 0.6189
Au 0.8202 0.6298 0.5180
Tm 0.0741 0.9259 0.7500

Results
- SG = C2/c
- total moment (Bohr magnetons per cell) = 0.00
- DFT formation energy (eV/atom) = -0.483

Record 7
# TmPd6Au12

Crystalline TmPd6Au12 at its relaxed geometry (GGA-PBE, the Alexandria database).

a b c (Å): 7.2388 7.2388 7.2388
angles (deg): 102.80 102.80 102.80
Fractional coordinates of all 19 atoms:
Pd 0.5812 0.8348 0.8350
Au 0.4167 0.8078 0.4172
Au 0.7381 0.2617 0.9998
Au 0.7383 0.0002 0.2619
Au 0.5833 0.1922 0.5828
Au 0.8078 0.4172 0.4167
Tm 0.0000 0.0000 0.0000
Pd 0.8350 0.5812 0.8348
Au 0.1922 0.5828 0.5833
Au 0.2617 0.9998 0.7381
Pd 0.4188 0.1652 0.1650
Pd 0.1650 0.4188 0.1652
Au 0.4172 0.4167 0.8078
Au 0.0002 0.2619 0.7383
Pd 0.8348 0.8350 0.5812
Pd 0.1652 0.1650 0.4188
Au 0.5828 0.5833 0.1922
Au 0.2619 0.7383 0.0002
Au 0.9998 0.7381 0.2617

Results
- SG = R-3m
- total moment (Bohr magnetons per cell) = 0.00
- DFT formation energy (eV/atom) = -0.123

Record 8
# Tm6Pd12Au

Crystalline Tm6Pd12Au at its relaxed geometry (GGA-PBE, the Alexandria database).

a b c (Å): 7.1769 7.1769 7.1769
angles (deg): 94.93 94.93 94.93
Fractional coordinates of all 19 atoms:
Tm 0.6895 0.8458 0.2482
Pd 0.1223 0.3701 0.0488
Pd 0.7862 0.5454 0.4850
Pd 0.6299 0.9512 0.8777
Pd 0.3701 0.0488 0.1223
Pd 0.4546 0.5150 0.2138
Tm 0.2482 0.6895 0.8458
Pd 0.5150 0.2138 0.4546
Pd 0.5454 0.4850 0.7862
Pd 0.4850 0.7862 0.5454
Pd 0.9512 0.8777 0.6299
Au 0.0000 0.0000 0.0000
Pd 0.0488 0.1223 0.3701
Pd 0.2138 0.4546 0.5150
Tm 0.3105 0.1542 0.7518
Pd 0.8777 0.6299 0.9512
Tm 0.8458 0.2482 0.6895
Tm 0.7518 0.3105 0.1542
Tm 0.1542 0.7518 0.3105

Results
- SG = R-3
- total moment (Bohr magnetons per cell) = 0.00
- DFT formation energy (eV/atom) = -0.769